Compound: Pa2RhSeS4
Source: the Alexandria database
Functional: PBE
Structure: relaxed

Calculated values
space-group type	C2/m

Lattice parameters (Å, degrees): 5.8337 5.8337 8.8784 114.25 114.25 38.48
With the nearest neighbours (Å) after each atom.
Fractional positions:
Pa: 0.1714 0.1714 0.2530  5 S 2.72-2.75, 2 Se 2.94
Pa: 0.8286 0.8286 0.7470  5 S 2.72-2.75, 2 Se 2.94
Rh: 0.0000 0.0000 0.5000  6 S 2.42-2.52
Se: 0.5000 0.5000 0.0000  4 Pa 2.94
S: 0.1699 0.1699 0.7876  1 Rh 2.42
S: 0.3817 0.3817 0.5625  2 Rh 2.52, 3 Pa 2.72-2.75
S: 0.6183 0.6183 0.4375  2 Rh 2.52, 3 Pa 2.72-2.75
S: 0.8301 0.8301 0.2124  1 Rh 2.42

=====

Compound: Pa2Tl2RhS6
Source: the Alexandria database
Functional: PBE
Structure: relaxed

Calculated values
space-group type	C2/m

Lattice parameters (Å, degrees): 6.6257 6.6257 8.0594 97.58 97.58 120.80
With the nearest neighbours (Å) after each atom.
Fractional positions:
Pa: 0.1654 0.8346 0.0000  6 S 2.66-2.69
Pa: 0.8346 0.1654 0.0000  6 S 2.66-2.69
Tl: 0.3364 0.6636 0.5000  6 S 3.21-3.24
Tl: 0.6636 0.3364 0.5000  6 S 3.21-3.24
Rh: 0.5000 0.5000 0.0000  6 S 2.53-2.70
S: 0.0997 0.4360 0.8033  2 Pa 2.66-2.69, 1 Rh 2.70
S: 0.2445 0.2445 0.1868  1 Rh 2.53, 2 Pa 2.68
S: 0.4360 0.0997 0.8033  2 Pa 2.66-2.69, 1 Rh 2.70
S: 0.5640 0.9003 0.1967  2 Pa 2.66-2.69, 1 Rh 2.70
S: 0.7555 0.7555 0.8132  1 Rh 2.53, 2 Pa 2.68
S: 0.9003 0.5640 0.1967  2 Pa 2.66-2.69, 1 Rh 2.70

=====

Compound: PaTlRh4S8
Source: the Alexandria database
Functional: PBE
Structure: relaxed

Calculated values
space-group type	R3m

Lattice parameters (Å, degrees): 7.2563 7.2563 7.2563 61.37 61.37 61.37
With the nearest neighbours (Å) after each atom.
Fractional positions:
Pa: 0.0000 0.0000 0.0000  6 S 2.60-2.73
Tl: 0.3857 0.3857 0.3857  4 S 2.53-2.57
Rh: 0.0096 0.0096 0.5248  6 S 2.42-2.45
Rh: 0.0096 0.5248 0.0096  6 S 2.42-2.45
Rh: 0.5248 0.0096 0.0096  6 S 2.42-2.45
Rh: 0.6411 0.6411 0.6411  4 S 2.33-2.36
S: 0.2419 0.2419 0.2419  3 Rh 2.45, 1 Tl 2.53
S: 0.2518 0.7497 0.7497  3 Rh 2.36-2.44, 1 Pa 2.60
S: 0.2601 0.2601 0.8117  2 Rh 2.42, 1 Tl 2.57
S: 0.2601 0.8117 0.2601  2 Rh 2.42, 1 Tl 2.57
S: 0.7497 0.2518 0.7497  3 Rh 2.36-2.44, 1 Pa 2.60
S: 0.7497 0.7497 0.2518  3 Rh 2.36-2.44, 1 Pa 2.60
S: 0.7735 0.7735 0.7735  4 Rh 2.33-2.45
S: 0.8117 0.2601 0.2601  2 Rh 2.42, 1 Tl 2.57

=====

Compound: UPaRhS4
Source: the Alexandria database
Functional: PBE
Structure: relaxed

Calculated values
space-group type	P2_1/m

Lattice parameters (Å, degrees): 6.4081 5.8890 7.4670 90.00 106.50 90.00
With the nearest neighbours (Å) after each atom.
Fractional positions:
U: 0.2362 0.2500 0.0603  6 S 2.66-2.82
U: 0.7638 0.7500 0.9397  6 S 2.66-2.82
Pa: 0.2400 0.2500 0.5566  6 S 2.73-2.86
Pa: 0.7600 0.7500 0.4434  6 S 2.73-2.86
Rh: 0.2377 0.7500 0.3151  4 S 2.29-2.33
Rh: 0.7623 0.2500 0.6849  4 S 2.29-2.33
S: 0.0324 0.5176 0.7603  1 Rh 2.29
S: 0.0324 0.9824 0.7603  1 Rh 2.29
S: 0.4417 0.7500 0.6229  1 Rh 2.30
S: 0.4476 0.7500 0.1070  1 Rh 2.33
S: 0.5524 0.2500 0.8930  1 Rh 2.33
S: 0.5583 0.2500 0.3771  1 Rh 2.30
S: 0.9676 0.0176 0.2397  1 Rh 2.29
S: 0.9676 0.4824 0.2397  1 Rh 2.29

=====

Compound: PaSbRh2
Source: the Alexandria database
Functional: PBE
Structure: relaxed

Calculated values
energy relative to the lowest polymorph listed for this composition	0.154	eV per atom
space-group type	P4/mmm

Lattice parameters (Å, degrees): 4.3953 4.3953 4.0239 90.00 90.00 90.00
With the nearest neighbours (Å) after each atom.
Fractional positions:
Pa: 0.0000 0.0000 0.0000  8 Rh 2.98, 4 Sb 3.11
Sb: 0.5000 0.5000 0.0000  8 Rh 2.98, 4 Pa 3.11
Rh: 0.0000 0.5000 0.5000  4 Pa 2.98, 4 Sb 2.98, 4 Rh 3.11
Rh: 0.5000 0.0000 0.5000  4 Pa 2.98, 4 Sb 2.98, 4 Rh 3.11

=====

Compound: PaSbRh2
Source: the Alexandria database
Functional: PBE
Structure: relaxed

Calculated values
energy relative to the lowest polymorph listed for this composition	0.012	eV per atom
space-group type	C2/m

Lattice parameters (Å, degrees): 4.4440 4.4440 8.7801 105.96 105.96 84.84
With the nearest neighbours (Å) after each atom.
Fractional positions:
Pa: 0.1096 0.1096 0.2188  2 Rh 2.61-2.62
Pa: 0.8904 0.8904 0.7812  2 Rh 2.61-2.62
Sb: 0.3445 0.3445 0.6898  6 Rh 2.71-2.88
Sb: 0.6555 0.6555 0.3102  6 Rh 2.71-2.88
Rh: 0.2501 0.7499 0.5000  4 Sb 2.71, 2 Rh 3.00
Rh: 0.2913 0.2913 0.0001  2 Pa 2.61-2.62, 1 Rh 2.74, 2 Sb 2.87-2.88
Rh: 0.7087 0.7087 0.9999  2 Pa 2.61-2.62, 1 Rh 2.74, 2 Sb 2.87-2.88
Rh: 0.7499 0.2501 0.5000  4 Sb 2.71, 2 Rh 3.00

=====

Compound: PaSbRh2
Source: the Alexandria database
Functional: PBE
Structure: relaxed

Calculated values
energy relative to the lowest polymorph listed for this composition	0.000	eV per atom
space-group type	R-3m

Lattice parameters (Å, degrees): 5.0858 5.0858 5.0858 53.38 53.38 53.38
With the nearest neighbours (Å) after each atom.
Fractional positions:
Pa: 0.0000 0.0000 0.0000  8 Rh 2.89-3.02
Sb: 0.5000 0.5000 0.5000  6 Rh 2.73
Rh: 0.2213 0.2213 0.2213  3 Sb 2.73, 4 Pa 2.89-3.02, 3 Rh 3.00
Rh: 0.7787 0.7787 0.7787  3 Sb 2.73, 4 Pa 2.89-3.02, 3 Rh 3.00

=====

Compound: PaSbRh3
Source: the Alexandria database
Functional: PBE
Structure: relaxed

Calculated values
space-group type	Pmmn

Lattice parameters (Å, degrees): 4.5120 5.7168 7.2991 90.00 90.00 90.00
With the nearest neighbours (Å) after each atom.
Fractional positions:
Pa: 0.2500 0.2500 0.1410  8 Rh 2.78-2.89
Pa: 0.7500 0.7500 0.8590  8 Rh 2.78-2.89
Sb: 0.2500 0.7500 0.4382  3 Rh 2.61-2.69
Sb: 0.7500 0.2500 0.5618  3 Rh 2.61-2.69
Rh: 0.2500 0.0059 0.7472  3 Sb 2.69-2.98, 5 Rh 2.79-2.94, 2 Pa 2.81
Rh: 0.2500 0.4941 0.7472  3 Sb 2.69-2.98, 5 Rh 2.79-2.94, 2 Pa 2.81
Rh: 0.2500 0.7500 0.0804  1 Sb 2.61, 4 Pa 2.78-2.89, 2 Rh 2.84
Rh: 0.7500 0.2500 0.9196  1 Sb 2.61, 4 Pa 2.78-2.89, 2 Rh 2.84
Rh: 0.7500 0.5059 0.2528  3 Sb 2.69-2.98, 5 Rh 2.79-2.94, 2 Pa 2.81
Rh: 0.7500 0.9941 0.2528  3 Sb 2.69-2.98, 5 Rh 2.79-2.94, 2 Pa 2.81

=====

Compound: Pa4Si3SbRh12
Source: the Alexandria database
Functional: PBE
Structure: relaxed

Calculated values
space-group type	Im-3m

Lattice parameters (Å, degrees): 7.9029 7.9029 7.9029 109.47 109.47 109.47
With the nearest neighbours (Å) after each atom.
Fractional positions:
Pa: 0.0000 0.0000 0.5000  12 Rh 3.23
Pa: 0.0000 0.5000 0.0000  12 Rh 3.23
Pa: 0.5000 0.0000 0.0000  12 Rh 3.23
Pa: 0.5000 0.5000 0.5000  12 Rh 3.23
Si: 0.0000 0.5000 0.5000  6 Rh 2.14-2.28
Si: 0.5000 0.0000 0.5000  6 Rh 2.14-2.28
Si: 0.5000 0.5000 0.0000  6 Rh 2.14-2.28
Sb: 0.0000 0.0000 0.0000  6 Rh 2.42
Rh: 0.0000 0.2651 0.2651  1 Si 2.14
Rh: 0.0000 0.7349 0.7349  1 Si 2.14
Rh: 0.2500 0.5000 0.7500  2 Si 2.28
Rh: 0.2500 0.7500 0.5000  2 Si 2.28
Rh: 0.2651 0.0000 0.2651  1 Si 2.14
Rh: 0.2651 0.2651 0.0000  1 Si 2.14
Rh: 0.5000 0.2500 0.7500  2 Si 2.28
Rh: 0.5000 0.7500 0.2500  2 Si 2.28
Rh: 0.7349 0.0000 0.7349  1 Si 2.14
Rh: 0.7349 0.7349 0.0000  1 Si 2.14
Rh: 0.7500 0.2500 0.5000  2 Si 2.28
Rh: 0.7500 0.5000 0.2500  2 Si 2.28

=====

Compound: Sr2PaSb3Rh4
Source: the Alexandria database
Functional: PBE
Structure: relaxed

Calculated values
space-group type	P-4m2

Lattice parameters (Å, degrees): 4.5668 4.5668 11.1460 90.00 90.00 90.00
With the nearest neighbours (Å) after each atom.
Fractional positions:
Sr: 0.0000 0.5000 0.2280  8 Rh 3.42-3.58, 6 Sb 3.42-3.80, 2 Pa 3.80
Sr: 0.5000 0.0000 0.7720  8 Rh 3.42-3.58, 6 Sb 3.42-3.80, 2 Pa 3.80
Pa: 0.0000 0.0000 0.5000  4 Rh 2.73
Sb: 0.0000 0.5000 0.8740  5 Rh 2.68
Sb: 0.5000 0.0000 0.1260  5 Rh 2.68
Sb: 0.5000 0.5000 0.5000  4 Rh 2.73
Rh: 0.0000 0.0000 0.0000  4 Sb 2.68
Rh: 0.0000 0.5000 0.6339  3 Sb 2.68-2.73, 2 Pa 2.73
Rh: 0.5000 0.0000 0.3661  3 Sb 2.68-2.73, 2 Pa 2.73
Rh: 0.5000 0.5000 0.0000  4 Sb 2.68

=====

ΔE_f (raw), respectively: -1.23; -1.01; -0.60; -1.23; -0.51; -0.65; -0.66; -0.69; -0.25; -0.73 eV per atom.
D(E_F), respectively: 7.4; 6.2; 7.0; 13.4; 4.2; 9.4; 3.5; 6.1; 31.5; 9.5 states/eV/cell.